[1]
Here is a geometry-optimized SmDy2Sc6 structure from Alexandria. Energies are from PBE-GGA.

Results
- size of the total moment (Bohr magnetons per cell) = 0.03
- E (eV/atom) = -4.908
- ρ (g cm⁻³) = 4.2
- ΔH_f (0 K) (eV per atom) = 0.860
- D(E_F) (states/eV/f.u.) = 17.621

abc: 7.812 7.812 9.671
angles: 90.00 90.00 90.00
Element x y z (fractional)
Sm  0.500  0.500  0.000
Sm  0.000  0.000  0.500
Dy  0.500  0.500  0.332
Dy  0.500  0.500  0.668
Dy  0.000  0.000  0.168
Dy  0.000  0.000  0.832
Sc  0.739  0.739  0.165
Sc  0.739  0.739  0.835
Sc  0.738  0.738  0.500
Sc  0.762  0.238  0.000
Sc  0.761  0.239  0.335
Sc  0.761  0.239  0.665
Sc  0.239  0.761  0.335
Sc  0.239  0.761  0.665
Sc  0.238  0.762  0.000
Sc  0.262  0.262  0.500
Sc  0.261  0.261  0.165
Sc  0.261  0.261  0.835

***

[2]
Here is a geometry-optimized Sm2Dy15Sc2 structure from Alexandria. Energies are from PBE-GGA.

Results
- size of the total moment (Bohr magnetons per cell) = 2.13
- E (eV/atom) = -4.514
- ρ (g cm⁻³) = 7.6
- ΔH_f (0 K) (eV per atom) = 0.283
- D(E_F) (states/eV/f.u.) = 33.883

abc: 8.641 8.641 8.641
angles: 80.06 80.06 80.06
Element x y z (fractional)
Sm  0.322  0.322  0.322
Sm  0.678  0.678  0.678
Dy  0.000  0.000  0.500
Dy  0.500  0.000  0.000
Dy  0.000  0.500  0.000
Dy  0.294  0.706  0.000
Dy  0.000  0.294  0.706
Dy  0.706  0.000  0.294
Dy  0.000  0.706  0.294
Dy  0.294  0.000  0.706
Dy  0.706  0.294  0.000
Dy  0.634  0.634  0.146
Dy  0.146  0.634  0.634
Dy  0.634  0.146  0.634
Dy  0.366  0.366  0.854
Dy  0.854  0.366  0.366
Dy  0.366  0.854  0.366
Sc  0.091  0.091  0.091
Sc  0.909  0.909  0.909